[1]
Computed, not measured: an optimized crystal structure of Sr2AuN at the PBEsol level of DFT.

Unit cell a=3.720 b=5.194 c=9.619 alpha=90.00 beta=101.15 gamma=90.00
Positions (direct):
N 0.808 0.750 0.616
N 0.192 0.250 0.384
Au 0.962 0.250 0.924
Au 0.038 0.750 0.076
Sr 0.214 0.750 0.427
Sr 0.600 0.250 0.199
Sr 0.400 0.750 0.801
Sr 0.786 0.250 0.573

Computed properties:
The density of states at the Fermi level comes out at 1.345 states/eV per cell. Its symmetry is Cmcm, No. 63. As for the uncorrected formation energy: -0.663 eV per atom. The total magnetization is 0.00 μB/cell.

=====

[2]
Computed, not measured: an optimized crystal structure of TaH2Pb at the PBEsol level of DFT.

Unit cell a=5.076 b=5.076 c=5.076 alpha=109.26 beta=109.26 gamma=109.90
Positions (direct):
H 0.475 0.375 0.600
H 0.775 0.875 0.400
H 0.125 0.525 0.900
H 0.625 0.225 0.100
Pb 0.000 0.000 0.000
Pb 0.250 0.750 0.500
Ta 0.750 0.250 0.500
Ta 0.500 0.500 0.000

Computed properties:
The density of states at the Fermi level comes out at 3.741 states/eV per cell. Its symmetry is I-42d, No. 122. The calculated total energy is -5.544 eV per atom. The total magnetization is 0.00 μB/cell.

=====

[3]
Computed, not measured: an optimized crystal structure of ZnCdPt at the PBEsol level of DFT.

Unit cell a=2.876 b=4.392 c=4.392 alpha=120.00 beta=90.00 gamma=90.00
Positions (direct):
Zn 0.000 0.667 0.333
Cd 0.500 0.000 0.000
Pt 0.000 0.333 0.667

Computed properties:
The density of states at the Fermi level comes out at 0.839 states/eV per cell. Its symmetry is P-6m2, No. 187. The calculated total energy is -3.555 eV per atom. The total magnetization is 0.00 μB/cell.

=====

[4]
Computed, not measured: an optimized crystal structure of YMg3 at the PBEsol level of DFT.

Unit cell a=3.177 b=5.022 c=6.326 alpha=90.00 beta=102.02 gamma=90.00
Positions (direct):
Mg 0.834 0.000 0.741
Mg 0.000 0.500 0.500
Mg 0.166 0.000 0.259
Y 0.500 0.500 0.000

Computed properties:
The density of states at the Fermi level comes out at 2.881 states/eV per cell. Its symmetry is P2/m, No. 10. The calculated total energy is -3.022 eV per atom. The total magnetization is 0.00 μB/cell.

=====

[5]
Computed, not measured: an optimized crystal structure of IrRu3 at the PBEsol level of DFT.

Unit cell a=2.670 b=4.632 c=4.632 alpha=109.49 beta=90.00 gamma=90.00
Positions (direct):
Ru 0.500 0.000 0.500
Ru 0.500 0.500 0.000
Ru 0.000 0.500 0.500
Ir 0.000 0.000 0.000

Computed properties:
The density of states at the Fermi level comes out at 4.096 states/eV per cell. Its symmetry is Cmmm, No. 65. The calculated total energy is -10.050 eV per atom. The total magnetization is 0.00 μB/cell.

=====

[6]
Computed, not measured: an optimized crystal structure of Bi2SeO6 at the PBEsol level of DFT.

Unit cell a=5.284 b=5.307 c=8.386 alpha=90.00 beta=108.36 gamma=90.00
Positions (direct):
O 0.718 0.250 0.936
O 0.607 0.431 0.213
O 0.393 0.569 0.787
O 0.999 0.250 0.499
O 0.499 0.250 0.499
O 0.282 0.750 0.064
O 0.501 0.750 0.501
O 0.218 0.250 0.936
O 0.001 0.750 0.501
O 0.893 0.931 0.787
O 0.107 0.069 0.213
O 0.782 0.750 0.064
Bi 0.668 0.997 0.335
Bi 0.168 0.503 0.335
Bi 0.832 0.497 0.665
Bi 0.332 0.003 0.665
Se 0.500 0.500 0.000
Se 0.000 0.000 0.000

Computed properties:
Its symmetry is Cmce, No. 64. As for the uncorrected formation energy: -0.940 eV per atom. The total magnetization is 0.00 μB/cell.

=====

[7]
Computed, not measured: an optimized crystal structure of TiMn2CoSb at the PBEsol level of DFT.

Unit cell a=4.428 b=4.428 c=4.565 alpha=90.00 beta=90.00 gamma=90.00
Positions (direct):
Sb 0.000 0.000 0.500
Mn 0.000 0.500 0.000
Mn 0.500 0.000 0.000
Ti 0.500 0.500 0.500
Co 0.000 0.000 0.000

Computed properties:
The density of states at the Fermi level comes out at 5.822 states/eV per cell. Its symmetry is P4/mmm, No. 123. As for the uncorrected formation energy: 0.714 eV per atom. The total magnetization is 6.80 μB/cell.

=====

[8]
Computed, not measured: an optimized crystal structure of GeSe2S at the PBEsol level of DFT.

Unit cell a=3.727 b=3.727 c=8.035 alpha=76.59 beta=76.59 gamma=60.00
Positions (direct):
S 0.000 0.000 0.000
Se 0.900 0.900 0.301
Se 0.100 0.100 0.699
Ge 0.500 0.500 0.500

Computed properties:
The density of states at the Fermi level comes out at 2.537 states/eV per cell. Its symmetry is R-3m, No. 166. As for the uncorrected formation energy: 0.147 eV per atom. The total magnetization is 0.00 μB/cell.

=====

no.,calculated volume (A^3/atom)
1,22.792
2,12.587
3,16.020
4,24.679
5,13.502
6,12.398
7,17.900
8,23.288